No. 1
This record from Alexandria describes a relaxed ScSiTe2 crystal. The functional is PBE.

Values from the calculation:
SG = R3m, No. 160
raw total energy = -19.3 eV/cell
formation energy from raw total energies = -0.313 eV/atom

The structure in CIF format:
```
data_ScSiTe2
_chemical_formula_sum 'Sc1 Si1 Te2'
_cell_length_a 7.9317
_cell_length_b 7.9317
_cell_length_c 7.9317
_cell_angle_alpha 30.48
_cell_angle_beta 30.48
_cell_angle_gamma 30.48
_space_group_name_H-M_alt 'P 1'
_space_group_IT_number 1
loop_
_space_group_symop_operation_xyz
'x,y,z'
loop_
_atom_site_label
_atom_site_type_symbol
_atom_site_fract_x
_atom_site_fract_y
_atom_site_fract_z
Sc1 Sc 0.4903 0.4903 0.4903
Te1 Te 0.2267 0.2267 0.2267
Te2 Te 0.0327 0.0327 0.0327
Si1 Si 0.7503 0.7503 0.7503
```

=====

No. 2
This record from Alexandria describes a relaxed Sc2SiTe crystal. The functional is PBE.

Values from the calculation:
energy relative to the lowest polymorph listed for this composition = 436 meV/atom
SG = Fm-3m, No. 225
raw total energy = -23.3 eV/cell
formation energy from raw total energies = -0.507 eV/atom

The structure in CIF format:
```
data_Sc2SiTe
_chemical_formula_sum 'Sc2 Si1 Te1'
_cell_length_a 4.9481
_cell_length_b 4.9481
_cell_length_c 4.9481
_cell_angle_alpha 60.00
_cell_angle_beta 60.00
_cell_angle_gamma 60.00
_space_group_name_H-M_alt 'P 1'
_space_group_IT_number 1
loop_
_space_group_symop_operation_xyz
'x,y,z'
loop_
_atom_site_label
_atom_site_type_symbol
_atom_site_fract_x
_atom_site_fract_y
_atom_site_fract_z
Si1 Si 0.0000 0.0000 0.0000
Te1 Te 0.5000 0.5000 0.5000
Sc1 Sc 0.7500 0.7500 0.7500
Sc2 Sc 0.2500 0.2500 0.2500
```

=====

No. 3
This record from Alexandria describes a relaxed ScSi2Te crystal. The functional is PBE.

Values from the calculation:
SG = I-42d, No. 122
raw total energy = -37.5 eV/cell
formation energy from raw total energies = 0.386 eV/atom

The structure in CIF format:
```
data_ScSi2Te
_chemical_formula_sum 'Sc2 Si4 Te2'
_cell_length_a 6.5775
_cell_length_b 6.5775
_cell_length_c 7.0556
_cell_angle_alpha 62.22
_cell_angle_beta 62.22
_cell_angle_gamma 90.00
_space_group_name_H-M_alt 'P 1'
_space_group_IT_number 1
loop_
_space_group_symop_operation_xyz
'x,y,z'
loop_
_atom_site_label
_atom_site_type_symbol
_atom_site_fract_x
_atom_site_fract_y
_atom_site_fract_z
Si1 Si 0.1182 0.6250 0.2500
Te1 Te 0.7500 0.2500 0.5000
Sc1 Sc 0.2500 0.7500 0.5000
Si2 Si 0.3750 0.3682 0.7500
Te2 Te 0.0000 0.0000 0.0000
Si3 Si 0.6318 0.1250 0.2500
Si4 Si 0.8750 0.8818 0.7500
Sc2 Sc 0.5000 0.5000 0.0000
```

=====

No. 4
This record from Alexandria describes a relaxed ScSi2Te crystal. The functional is PBE.

Values from the calculation:
SG = Imm2, No. 44
raw total energy = -21.1 eV/cell
formation energy from raw total energies = -0.187 eV/atom

The structure in CIF format:
```
data_ScSi2Te
_chemical_formula_sum 'Sc1 Si2 Te1'
_cell_length_a 5.2969
_cell_length_b 5.2969
_cell_length_c 5.2969
_cell_angle_alpha 140.16
_cell_angle_beta 122.85
_cell_angle_gamma 71.93
_space_group_name_H-M_alt 'P 1'
_space_group_IT_number 1
loop_
_space_group_symop_operation_xyz
'x,y,z'
loop_
_atom_site_label
_atom_site_type_symbol
_atom_site_fract_x
_atom_site_fract_y
_atom_site_fract_z
Si1 Si 0.0322 0.0322 0.0000
Si2 Si 0.2167 0.7167 0.5000
Sc1 Sc 0.7719 0.2719 0.5000
Te1 Te 0.4792 0.4792 0.0000
```

=====

No. 5
This record from Alexandria describes a relaxed Sc2SiTe crystal. The functional is PBE.

Values from the calculation:
energy relative to the lowest polymorph listed for this composition = 488 meV/atom
SG = R-3m, No. 166
raw total energy = -23.0 eV/cell
formation energy from raw total energies = -0.454 eV/atom

The structure in CIF format:
```
data_Sc2SiTe
_chemical_formula_sum 'Sc2 Si1 Te1'
_cell_length_a 8.4622
_cell_length_b 8.4622
_cell_length_c 8.4622
_cell_angle_alpha 27.86
_cell_angle_beta 27.86
_cell_angle_gamma 27.86
_space_group_name_H-M_alt 'P 1'
_space_group_IT_number 1
loop_
_space_group_symop_operation_xyz
'x,y,z'
loop_
_atom_site_label
_atom_site_type_symbol
_atom_site_fract_x
_atom_site_fract_y
_atom_site_fract_z
Sc1 Sc 0.8877 0.8877 0.8877
Sc2 Sc 0.1123 0.1123 0.1123
Si1 Si 0.5000 0.5000 0.5000
Te1 Te 0.0000 0.0000 0.0000
```

=====

No. 6
This record from Alexandria describes a relaxed ScSiTe2 crystal. The functional is PBE.

Values from the calculation:
SG = C2/m, No. 12
raw total energy = -18.8 eV/cell
formation energy from raw total energies = -0.183 eV/atom

The structure in CIF format:
```
data_ScSiTe2
_chemical_formula_sum 'Sc1 Si1 Te2'
_cell_length_a 7.5442
_cell_length_b 5.1011
_cell_length_c 3.6825
_cell_angle_alpha 84.75
_cell_angle_beta 68.64
_cell_angle_gamma 127.44
_space_group_name_H-M_alt 'P 1'
_space_group_IT_number 1
loop_
_space_group_symop_operation_xyz
'x,y,z'
loop_
_atom_site_label
_atom_site_type_symbol
_atom_site_fract_x
_atom_site_fract_y
_atom_site_fract_z
Te1 Te 0.5000 0.0000 0.5000
Sc1 Sc 0.0000 0.5000 0.5000
Si1 Si 0.5000 0.5000 0.0000
Te2 Te 0.0000 0.0000 0.0000
```

=====

No. 7
This record from Alexandria describes a relaxed ScSi2Te2 crystal. The functional is PBE.

Values from the calculation:
energy relative to the lowest polymorph listed for this composition = 63 meV/atom
SG = I4/mmm, No. 139
raw total energy = -23.5 eV/cell
formation energy from raw total energies = -0.006 eV/atom

The structure in CIF format:
```
data_ScSi2Te2
_chemical_formula_sum 'Sc1 Si2 Te2'
_cell_length_a 5.5812
_cell_length_b 5.5812
_cell_length_c 5.5032
_cell_angle_alpha 59.53
_cell_angle_beta 59.53
_cell_angle_gamma 90.00
_space_group_name_H-M_alt 'P 1'
_space_group_IT_number 1
loop_
_space_group_symop_operation_xyz
'x,y,z'
loop_
_atom_site_label
_atom_site_type_symbol
_atom_site_fract_x
_atom_site_fract_y
_atom_site_fract_z
Si1 Si 0.3477 0.3477 0.3047
Te1 Te 0.2500 0.7500 0.5000
Sc1 Sc 0.0000 0.0000 0.0000
Te2 Te 0.7500 0.2500 0.5000
Si2 Si 0.6523 0.6523 0.6953
```

=====

No. 8
This record from Alexandria describes a relaxed Sc2SiTe crystal. The functional is PBE.

Values from the calculation:
energy relative to the lowest polymorph listed for this composition = 415 meV/atom
SG = P4/mmm, No. 123
raw total energy = -23.3 eV/cell
formation energy from raw total energies = -0.528 eV/atom

The structure in CIF format:
```
data_Sc2SiTe
_chemical_formula_sum 'Sc2 Si1 Te1'
_cell_length_a 5.0306
_cell_length_b 5.0306
_cell_length_c 3.3878
_cell_angle_alpha 90.00
_cell_angle_beta 90.00
_cell_angle_gamma 90.00
_space_group_name_H-M_alt 'P 1'
_space_group_IT_number 1
loop_
_space_group_symop_operation_xyz
'x,y,z'
loop_
_atom_site_label
_atom_site_type_symbol
_atom_site_fract_x
_atom_site_fract_y
_atom_site_fract_z
Sc1 Sc 0.0000 0.0000 0.0000
Sc2 Sc 0.5000 0.5000 0.0000
Te1 Te 0.0000 0.5000 0.5000
Si1 Si 0.5000 0.0000 0.5000
```

=====

No. 9
This record from Alexandria describes a relaxed Sc2Si2Te crystal. The functional is PBE.

Values from the calculation:
energy relative to the lowest polymorph listed for this composition = 158 meV/atom
SG = P4/mbm, No. 127
raw total energy = -59.0 eV/cell
formation energy from raw total energies = -0.566 eV/atom

The structure in CIF format:
```
data_Sc2Si2Te
_chemical_formula_sum 'Sc4 Si4 Te2'
_cell_length_a 7.5142
_cell_length_b 7.5142
_cell_length_c 3.7955
_cell_angle_alpha 90.00
_cell_angle_beta 90.00
_cell_angle_gamma 90.00
_space_group_name_H-M_alt 'P 1'
_space_group_IT_number 1
loop_
_space_group_symop_operation_xyz
'x,y,z'
loop_
_atom_site_label
_atom_site_type_symbol
_atom_site_fract_x
_atom_site_fract_y
_atom_site_fract_z
Sc1 Sc 0.3223 0.8223 0.0000
Te1 Te 0.5000 0.5000 0.0000
Si1 Si 0.1092 0.6092 0.5000
Sc2 Sc 0.6777 0.1777 0.0000
Si2 Si 0.3908 0.1092 0.5000
Si3 Si 0.8908 0.3908 0.5000
Te2 Te 0.0000 0.0000 0.0000
Sc3 Sc 0.1777 0.3223 0.0000
Sc4 Sc 0.8223 0.6777 0.0000
Si4 Si 0.6092 0.8908 0.5000
```

=====

No. 10
This record from Alexandria describes a relaxed Sc2SiTe crystal. The functional is PBE.

Values from the calculation:
energy relative to the lowest polymorph listed for this composition = 338 meV/atom
SG = Imm2, No. 44
raw total energy = -23.6 eV/cell
formation energy from raw total energies = -0.604 eV/atom

The structure in CIF format:
```
data_Sc2SiTe
_chemical_formula_sum 'Sc2 Si1 Te1'
_cell_length_a 5.7414
_cell_length_b 5.7414
_cell_length_c 5.7414
_cell_angle_alpha 138.54
_cell_angle_beta 138.17
_cell_angle_gamma 60.36
_space_group_name_H-M_alt 'P 1'
_space_group_IT_number 1
loop_
_space_group_symop_operation_xyz
'x,y,z'
loop_
_atom_site_label
_atom_site_type_symbol
_atom_site_fract_x
_atom_site_fract_y
_atom_site_fract_z
Sc1 Sc 0.7480 0.2480 0.5000
Sc2 Sc 0.9994 0.9994 0.0000
Si1 Si 0.5018 0.5018 0.0000
Te1 Te 0.2508 0.7508 0.5000
```

=====

Copy entry 9 word for word.
This record from Alexandria describes a relaxed Sc2Si2Te crystal. The functional is PBE.

Values from the calculation:
energy relative to the lowest polymorph listed for this composition = 158 meV/atom
SG = P4/mbm, No. 127
raw total energy = -59.0 eV/cell
formation energy from raw total energies = -0.566 eV/atom

The structure in CIF format:
```
data_Sc2Si2Te
_chemical_formula_sum 'Sc4 Si4 Te2'
_cell_length_a 7.5142
_cell_length_b 7.5142
_cell_length_c 3.7955
_cell_angle_alpha 90.00
_cell_angle_beta 90.00
_cell_angle_gamma 90.00
_space_group_name_H-M_alt 'P 1'
_space_group_IT_number 1
loop_
_space_group_symop_operation_xyz
'x,y,z'
loop_
_atom_site_label
_atom_site_type_symbol
_atom_site_fract_x
_atom_site_fract_y
_atom_site_fract_z
Sc1 Sc 0.3223 0.8223 0.0000
Te1 Te 0.5000 0.5000 0.0000
Si1 Si 0.1092 0.6092 0.5000
Sc2 Sc 0.6777 0.1777 0.0000
Si2 Si 0.3908 0.1092 0.5000
Si3 Si 0.8908 0.3908 0.5000
Te2 Te 0.0000 0.0000 0.0000
Sc3 Sc 0.1777 0.3223 0.0000
Sc4 Sc 0.8223 0.6777 0.0000
Si4 Si 0.6092 0.8908 0.5000
```

=====

- Which of these has the lowest raw total energy?
  Sc2Si2Te

=====

- Which of these has the lowest raw total energy?
  Sc2Si2Te

=====

Repeat the fifth record exactly.
This record from Alexandria describes a relaxed Sc2SiTe crystal. The functional is PBE.

Values from the calculation:
energy relative to the lowest polymorph listed for this composition = 488 meV/atom
SG = R-3m, No. 166
raw total energy = -23.0 eV/cell
formation energy from raw total energies = -0.454 eV/atom

The structure in CIF format:
```
data_Sc2SiTe
_chemical_formula_sum 'Sc2 Si1 Te1'
_cell_length_a 8.4622
_cell_length_b 8.4622
_cell_length_c 8.4622
_cell_angle_alpha 27.86
_cell_angle_beta 27.86
_cell_angle_gamma 27.86
_space_group_name_H-M_alt 'P 1'
_space_group_IT_number 1
loop_
_space_group_symop_operation_xyz
'x,y,z'
loop_
_atom_site_label
_atom_site_type_symbol
_atom_site_fract_x
_atom_site_fract_y
_atom_site_fract_z
Sc1 Sc 0.8877 0.8877 0.8877
Sc2 Sc 0.1123 0.1123 0.1123
Si1 Si 0.5000 0.5000 0.5000
Te1 Te 0.0000 0.0000 0.0000
```